(1)
Here is a relaxed structure of RbTl2Pb4 from the Alexandria database. Energies are from PBE.

Lattice parameters (Å, degrees): 5.8120 22.4084 3.6302 90.00 90.00 90.00
Space group Cmmm (No. 65)
Unique sites:
Rb 0.0000 0.0000 0.0000 x2
Tl 0.0000 0.4205 0.5000 x4
Pb 0.0000 0.1605 0.5000 x4
Pb 0.0000 0.2918 0.0000 x4

* E: -2.954 eV/atom
* energy of formation: -0.02 eV per atom
* crystal system: orthorhombic

=====

(2)
Here is a relaxed structure of Zr2TlVC from the Alexandria database. Energies are from PBE.

Lattice parameters (Å, degrees): 4.6652 4.6652 4.0096 90.00 90.00 90.00
Space group P4/mmm (No. 123)
Unique sites:
Zr 0.0000 0.5000 0.0000 x2
Tl 0.0000 0.0000 0.5000 x1
V 0.5000 0.5000 0.5000 x1
C 0.5000 0.5000 0.0000 x1

* E: -7.872 eV/atom
* energy of formation: -0.31 eV per atom
* crystal system: tetragonal
* energy above the most stable polymorph in this dataset: 0 meV/atom

=====

(3)
Here is a relaxed structure of RbTm4 from the Alexandria database. Energies are from PBE.

Lattice parameters (Å, degrees): 5.4818 5.4818 5.4818 90.00 90.00 90.00
Space group Pm-3m (No. 221)
Unique sites:
Rb 0.0000 0.0000 0.0000 x1
Tm 0.0000 0.0000 0.5000 x3
Tm 0.5000 0.5000 0.5000 x1

* E: -2.575 eV/atom
* energy of formation: 1.20 eV per atom
* crystal system: cubic

=====

(4)
Here is a relaxed structure of CaLaIO6 from the Alexandria database. Energies are from PBE.

Lattice parameters (Å, degrees): 5.8475 5.8475 9.1706 90.00 90.00 120.00
Space group P-31c (No. 163)
Unique sites:
Ca 0.0000 0.0000 0.0000 x2
La 0.3333 0.6667 0.2500 x2
I 0.3333 0.6667 0.7500 x2
O 0.0662 0.3931 0.6331 x12

* E: -6.093 eV/atom
* crystal system: trigonal